# 1
# BaLaMg2

A relaxed structure of BaLaMg2 (PBE-GGA, Alexandria via LeMat-Bulk).

Cell: 5.0980 5.0980 10.6425 Å, 90.00 90.00 90.00°
Space group I-4m2 (No. 119)
Asymmetric unit:
Ba 0.0000 0.0000 0.0000 [2 per cell]
La 0.0000 0.5000 0.7500 [2 per cell]
Mg 0.0000 0.0000 0.5000 [2 per cell]
Mg 0.0000 0.5000 0.2500 [2 per cell]

Summary:
Total energy   -19.264 eV for the cell shown
Energy of formation from the pure elements   102 meV per atom


# 2
# RbOsPt3

A relaxed structure of RbOsPt3 (PBE-GGA, Alexandria via LeMat-Bulk).

Cell: 4.9442 4.9442 4.9442 Å, 90.00 90.00 90.00°
Space group Pm-3m (No. 221)
Asymmetric unit:
Rb 0.0000 0.0000 0.0000 [1 per cell]
Os 0.5000 0.5000 0.5000 [1 per cell]
Pt 0.0000 0.0000 0.5000 [3 per cell]

Summary:
Total energy   -14.995 eV for the cell shown
Energy of formation from the pure elements   3065 meV per atom
Energy above the lowest structure with this stoichiometry   217.2 kJ per mole of atoms


# 3
# BaLaTlCr2

A relaxed structure of BaLaTlCr2 (PBE-GGA, Alexandria via LeMat-Bulk).

Cell: 5.1613 5.1613 6.0025 Å, 90.00 90.00 90.00°
Space group P4/mmm (No. 123)
Asymmetric unit:
Ba 0.0000 0.0000 0.0000 [1 per cell]
La 0.5000 0.5000 0.0000 [1 per cell]
Tl 0.0000 0.0000 0.5000 [1 per cell]
Cr 0.0000 0.5000 0.5000 [2 per cell]

Summary:
Total energy   -20.165 eV for the cell shown
Energy of formation from the pure elements   1660 meV per atom


# 4
# Rb2LiLaBr6

A relaxed structure of Rb2LiLaBr6 (PBE-GGA, Alexandria via LeMat-Bulk).

Cell: 8.0136 8.0136 11.3233 Å, 90.00 90.00 90.00°
Space group I4/mmm (No. 139)
Asymmetric unit:
Rb 0.0000 0.5000 0.2500 [4 per cell]
Li 0.0000 0.0000 0.0000 [2 per cell]
La 0.0000 0.0000 0.5000 [2 per cell]
Br 0.0000 0.0000 0.2422 [4 per cell]
Br 0.2424 0.2424 0.0000 [8 per cell]

Summary:
Total energy   -73.684 eV for the cell shown
Energy above the lowest structure with this stoichiometry   1.4 kJ per mole of atoms


# 5
# BeNbCoPt2

A relaxed structure of BeNbCoPt2 (PBE-GGA, Alexandria via LeMat-Bulk).

Cell: 4.8460 4.8460 4.4108 Å, 90.00 90.00 90.00°
Space group P4/mmm (No. 123)
Asymmetric unit:
Be 0.0000 0.0000 0.0000 [1 per cell]
Nb 0.0000 0.0000 0.5000 [1 per cell]
Co 0.5000 0.5000 0.0000 [1 per cell]
Pt 0.0000 0.5000 0.5000 [2 per cell]

Summary:
Total energy   -25.917 eV for the cell shown
Energy of formation from the pure elements   1413 meV per atom


# 6
# Tl2ZnCdSb

A relaxed structure of Tl2ZnCdSb (PBE-GGA, Alexandria via LeMat-Bulk).

Cell: 6.1162 6.1162 5.2505 Å, 90.00 90.00 90.00°
Space group P4/mmm (No. 123)
Asymmetric unit:
Tl 0.0000 0.5000 0.0000 [2 per cell]
Zn 0.0000 0.0000 0.5000 [1 per cell]
Cd 0.5000 0.5000 0.5000 [1 per cell]
Sb 0.0000 0.0000 0.0000 [1 per cell]

Summary:
Total energy   -9.069 eV for the cell shown


# 7
# BaY2V

A relaxed structure of BaY2V (PBE-GGA, Alexandria via LeMat-Bulk).

Cell: 7.9268 7.9268 7.9268 Å, 90.00 90.00 90.00°
Space group Fm-3m (No. 225)
Asymmetric unit:
Ba 0.0000 0.0000 0.0000 [4 per cell]
Y 0.2500 0.2500 0.2500 [8 per cell]
V 0.0000 0.0000 0.5000 [4 per cell]

Summary:
Total energy   -86.760 eV for the cell shown
Energy of formation from the pure elements   570 meV per atom
Energy above the lowest structure with this stoichiometry   0.0 kJ per mole of atoms


# 8
# Ba2NpVS6

A relaxed structure of Ba2NpVS6 (PBE-GGA, Alexandria via LeMat-Bulk).

Cell: 12.1092 6.9678 7.0727 Å, 90.00 125.50 90.00°
Space group C2/m (No. 12)
Asymmetric unit:
Ba 0.2480 0.0000 0.2452 [4 per cell]
Np 0.0000 0.0000 0.5000 [2 per cell]
V 0.0000 0.5000 0.0000 [2 per cell]
S 0.0254 0.2588 0.7843 [8 per cell]
S 0.2407 0.5000 0.2895 [4 per cell]

Summary:
Total energy   -131.607 eV for the cell shown